A plane-wave DFT calculation with GGA-PBE was carried out for an optimized crystal structure of NaNiB.

Results
* theoretical density: 3.86 Mg/m³
* Fermi-level density of states: 0.428 states/eV/atom
* DFT formation energy: 92 meV per atom
* crystal system: monoclinic

Cell and atoms, written as POSCAR:
```
NaNiB
1.0
4.725 0.000 0.000
0.000 3.324 0.000
-2.343 0.000 5.068
Na Ni B
2 2 2
Cartesian
0.000 0.000 0.000
0.017 1.662 5.067
1.080 1.662 2.508
3.442 1.662 2.558
-0.104 0.000 2.632
2.257 0.000 2.434
```